Record 1
## Ba3SiS5 (GGA-PBEsol)

Data for Ba3SiS5 after structural relaxation.

D(E_F): 0.00 states/eV/atom
Formation energy (no corrections): -1.76 eV per atom
E: -5.555 eV per atom

Lattice parameters (Å, degrees): 11.849 9.448 8.499 90.00 90.00 90.00
Space group Pnma (No. 62)
Inequivalent atoms, fractional coordinates:
Ba  0.022  0.250  0.113 (multiplicity 4)
Ba  0.182  0.019  0.576 (multiplicity 8)
Si  0.098  0.750  0.306 (multiplicity 4)
S  0.004  0.750  0.518 (multiplicity 4)
S  0.054  0.564  0.185 (multiplicity 8)
S  0.225  0.250  0.849 (multiplicity 4)
S  0.235  0.750  0.816 (multiplicity 4)

=====

Record 2
## ZrSbS3 (GGA-PBEsol)

Data for ZrSbS3 after structural relaxation.

D(E_F): 0.96 states/eV/atom
Formation energy (no corrections): 0.27 eV per atom
E: -5.090 eV per atom

Lattice parameters (Å, degrees): 4.880 4.880 4.880 90.00 90.00 90.00
Space group Pm-3m (No. 221)
Inequivalent atoms, fractional coordinates:
Zr  0.000  0.000  0.000 (multiplicity 1)
Sb  0.500  0.500  0.500 (multiplicity 1)
S  0.000  0.500  0.500 (multiplicity 3)

=====

Record 3
## MnTlAg2 (GGA-PBEsol)

Data for MnTlAg2 after structural relaxation.

ΔE_f: 0.29 eV/atom
ΔE to the lowest computed polymorph: 0.00 eV per formula unit
D(E_F): 0.36 states/eV/atom
E: -4.465 eV per atom

Lattice parameters (Å, degrees): 3.381 3.381 6.354 90.00 90.00 90.00
Space group P4/mmm (No. 123)
Inequivalent atoms, fractional coordinates:
Mn  0.000  0.000  0.000 (multiplicity 1)
Tl  0.000  0.000  0.500 (multiplicity 1)
Ag  0.500  0.500  0.218 (multiplicity 2)

=====

Record 4
## ReBrF3 (GGA-PBEsol)

Data for ReBrF3 after structural relaxation.

D(E_F): 1.23 states/eV/atom
Formation energy (no corrections): -0.79 eV per atom
E: -4.984 eV per atom

Lattice parameters (Å, degrees): 4.086 4.086 4.086 90.00 90.00 90.00
Space group Pm-3m (No. 221)
Inequivalent atoms, fractional coordinates:
Re  0.000  0.000  0.000 (multiplicity 1)
Br  0.500  0.500  0.500 (multiplicity 1)
F  0.000  0.000  0.500 (multiplicity 3)

=====

Record 5
## InSb2S (GGA-PBEsol)

Data for InSb2S after structural relaxation.

D(E_F): 0.45 states/eV/atom
Formation energy (no corrections): 0.19 eV per atom
E: -3.928 eV per atom

Lattice parameters (Å, degrees): 5.618 5.618 15.529 90.00 90.00 90.00
Space group I-42d (No. 122)
Inequivalent atoms, fractional coordinates:
In  0.000  0.000  0.000 (multiplicity 4)
Sb  0.200  0.250  0.625 (multiplicity 8)
S  0.000  0.000  0.500 (multiplicity 4)

=====

Record 6
## Te2RuNO (GGA-PBEsol)

Data for Te2RuNO after structural relaxation.

ΔE to the lowest computed polymorph: 2.42 eV per formula unit
D(E_F): 0.79 states/eV/atom
Formation energy (no corrections): 1.14 eV per atom
E: -5.059 eV per atom

Lattice parameters (Å, degrees): 4.622 4.622 3.536 90.00 90.00 90.00
Space group P4/mmm (No. 123)
Inequivalent atoms, fractional coordinates:
Te  0.000  0.500  0.000 (multiplicity 2)
Ru  0.000  0.000  0.500 (multiplicity 1)
N  0.500  0.500  0.500 (multiplicity 1)
O  0.500  0.500  0.000 (multiplicity 1)

=====

Record 7
## Fe3Re4 (GGA-PBEsol)

Data for Fe3Re4 after structural relaxation.

ΔE_f: 0.03 eV/atom
D(E_F): 1.22 states/eV/atom
E: -11.433 eV per atom

Lattice parameters (Å, degrees): 4.6196 4.6196 4.7730 90.00 90.00 120.00
Space group P6/mmm (No. 191)
Inequivalent atoms, fractional coordinates:
Fe  0.0000  0.5000  0.0000 (multiplicity 3)
Re  0.0000  0.0000  0.2516 (multiplicity 2)
Re  0.3333  0.6667  0.5000 (multiplicity 2)

=====

Record 8
## Mg3Au (GGA-PBEsol)

Data for Mg3Au after structural relaxation.

ΔE_f: -0.36 eV/atom
ΔE to the lowest computed polymorph: 0.24 eV per formula unit
D(E_F): 0.30 states/eV/atom
E: -2.627 eV per atom

Lattice parameters (Å, degrees): 4.780 5.988 5.229 90.00 90.00 90.00
Space group Pmmn (No. 59, origin choice 2)
Inequivalent atoms, fractional coordinates:
Mg  0.250  0.001  0.169 (multiplicity 4)
Mg  0.250  0.750  0.635 (multiplicity 2)
Au  0.250  0.250  0.687 (multiplicity 2)

=====

Record 9
## AlH2Ru (GGA-PBEsol)

Data for AlH2Ru after structural relaxation.

D(E_F): 0.21 states/eV/atom
E: -5.196 eV per atom

Lattice parameters (Å, degrees): 3.795 3.795 9.576 90.00 90.00 90.00
Space group I-42d (No. 122)
Inequivalent atoms, fractional coordinates:
Al  0.000  0.000  0.000 (multiplicity 4)
H  0.206  0.250  0.625 (multiplicity 8)
Ru  0.000  0.000  0.500 (multiplicity 4)

=====

Record 10
## Hf2SbI (GGA-PBEsol)

Data for Hf2SbI after structural relaxation.

D(E_F): 0.31 states/eV/atom
Formation energy (no corrections): -0.30 eV per atom
E: -7.131 eV per atom

Lattice parameters (Å, degrees): 7.006 7.006 7.006 90.00 90.00 90.00
Space group Fm-3m (No. 225)
Inequivalent atoms, fractional coordinates:
Hf  0.250  0.250  0.250 (multiplicity 8)
Sb  0.000  0.000  0.000 (multiplicity 4)
I  0.000  0.000  0.500 (multiplicity 4)

=====

Record 11
## Ba3SiPd (GGA-PBEsol)

Data for Ba3SiPd after structural relaxation.

D(E_F): 0.76 states/eV/atom
Formation energy (no corrections): 0.21 eV per atom
E: -3.416 eV per atom

Lattice parameters (Å, degrees): 6.160 6.160 6.160 90.00 90.00 90.00
Space group Pm-3m (No. 221)
Inequivalent atoms, fractional coordinates:
Ba  0.000  0.000  0.500 (multiplicity 3)
Si  0.000  0.000  0.000 (multiplicity 1)
Pd  0.500  0.500  0.500 (multiplicity 1)

=====

Record 12
## ScTlCr2 (GGA-PBEsol)

Data for ScTlCr2 after structural relaxation.

ΔE_f: 0.55 eV/atom
D(E_F): 1.08 states/eV/atom
E: -6.877 eV per atom

Lattice parameters (Å, degrees): 3.166 3.741 6.082 90.00 90.00 90.00
Space group Pmmm (No. 47)
Inequivalent atoms, fractional coordinates:
Sc  0.000  0.000  0.000 (multiplicity 1)
Tl  0.000  0.000  0.500 (multiplicity 1)
Cr  0.500  0.500  0.249 (multiplicity 2)

=====

Q: What is the E in the sixth record?
A: -5.059 eV per atom

=====

Copy entry 5 word for word.
## InSb2S (GGA-PBEsol)

Data for InSb2S after structural relaxation.

D(E_F): 0.45 states/eV/atom
Formation energy (no corrections): 0.19 eV per atom
E: -3.928 eV per atom

Lattice parameters (Å, degrees): 5.618 5.618 15.529 90.00 90.00 90.00
Space group I-42d (No. 122)
Inequivalent atoms, fractional coordinates:
In  0.000  0.000  0.000 (multiplicity 4)
Sb  0.200  0.250  0.625 (multiplicity 8)
S  0.000  0.000  0.500 (multiplicity 4)

=====

Q: Which formula does entry 4 have?
A: ReBrF3